Compound: CrTe2Cl
Source: the Alexandria database
Functional: PBE
Structure: relaxed

```
16
Lattice="7.0785 0.0000 0.0000 0.0000 7.0785 0.0000 0.0000 0.0000 7.0785" Properties=species:S:1:pos:R:3 pbc="T T T"
Cr 0.0000 0.0000 0.0000
Cr 0.0000 3.5393 3.5393
Cr 3.5393 0.0000 3.5393
Cr 3.5393 3.5393 0.0000
Te 1.7696 1.7696 1.7696
Te 1.7696 1.7696 5.3089
Te 1.7696 5.3089 1.7696
Te 1.7696 5.3089 5.3089
Te 5.3089 1.7696 1.7696
Te 5.3089 1.7696 5.3089
Te 5.3089 5.3089 1.7696
Te 5.3089 5.3089 5.3089
Cl 0.0000 0.0000 3.5393
Cl 0.0000 3.5393 0.0000
Cl 3.5393 0.0000 0.0000
Cl 3.5393 3.5393 3.5393
```

Output
Energy = -4.206 eV/atom
Distance to the lowest polymorph of the same formula = 0.555 eV per atom
Formation energy from raw total energies = 0.233 eV per atom
Calculated density = 6.42 g cm⁻³
Total magnetic moment = 11.41 μB/cell

=====

Compound: TlCrTeCl2
Source: the Alexandria database
Functional: PBE
Structure: relaxed

```
5
Lattice="4.8289 0.0000 0.0000 0.0000 4.8289 0.0000 0.0000 0.0000 5.6464" Properties=species:S:1:pos:R:3 pbc="T T T"
Tl 0.0000 0.0000 0.0000
Cr 2.4145 2.4145 2.8232
Te 2.4145 2.4145 0.0000
Cl 0.0000 2.4145 2.8232
Cl 2.4145 0.0000 2.8232
```

Output
Energy = -4.362 eV/atom
Formation energy from raw total energies = -0.597 eV per atom
Calculated density = 5.74 g cm⁻³
Total magnetic moment = 3.14 μB/cell

=====

Compound: TiCrCl4
Source: the Alexandria database
Functional: PBE
Structure: relaxed

```
12
Lattice="3.5735 -7.9631 0.0000 3.5735 7.9631 0.0000 -3.2872 0.0000 5.4372" Properties=species:S:1:pos:R:3 pbc="T T T"
Ti 1.1080 6.8655 4.0779
Ti 2.7517 -6.8655 1.3593
Cr 2.7517 1.1907 1.3593
Cr 1.1080 -1.1907 4.0779
Cl 0.9477 2.7081 1.2828
Cl -0.6042 0.7240 3.8593
Cl 1.0394 -0.7240 1.1407
Cl -0.6959 -2.7081 4.0014
Cl 4.5557 2.7081 1.4358
Cl 2.8203 0.7240 4.2966
Cl 4.4639 -0.7240 1.5779
Cl 2.9120 -2.7081 4.1544
```

Output
Energy = -5.268 eV/atom
Formation energy from raw total energies = -1.117 eV per atom
Calculated density = 2.59 g cm⁻³
Total magnetic moment = 12.00 μB/cell